Density functional theory data (PBE) for an optimized crystal structure of BeAl2Cd.

Summary:
The calculation puts the density of states at the Fermi level at 1.35 states/eV/cell. As for the uncorrected energy: -2.7064 eV/atom. The density is 4.1 Mg/m³.

a b c (Å): 4.066 3.639 5.159
angles (deg): 67.40 90.00 90.00
Element x y z (fractional)
Be: 0.500 0.250 0.250
Al: 0.000 0.126 0.034
Al: 0.000 0.374 0.466
Cd: 0.500 0.750 0.750

=====

Density functional theory data (PBE) for an optimized crystal structure of Sc2PRh.

Summary:
The calculation puts the density of states at the Fermi level at 7.51 states/eV/cell. As for the uncorrected energy: -6.9684 eV/atom. The density is 4.9 Mg/m³.

a b c (Å): 6.976 6.976 5.822
angles (deg): 53.19 53.19 90.00
Element x y z (fractional)
Sc: 0.625 0.125 0.250
Sc: 0.125 0.625 0.250
Sc: 0.375 0.375 0.750
Sc: 0.875 0.875 0.750
P: 0.500 0.500 0.000
P: 0.250 0.750 0.500
Rh: 0.000 0.000 0.000
Rh: 0.750 0.250 0.500

=====

Density functional theory data (PBE) for an optimized crystal structure of CePaCoIr.

Summary:
The calculation puts the density of states at the Fermi level at 4.43 states/eV/cell. As for the uncorrected energy: -8.4143 eV/atom. The density is 12.5 Mg/m³.

a b c (Å): 3.777 3.978 5.811
angles (deg): 90.00 108.96 90.00
Element x y z (fractional)
Ce: 0.866 0.500 0.732
Pa: 0.139 0.000 0.279
Co: 0.400 0.000 0.800
Ir: 0.595 0.500 0.189

=====

Density functional theory data (PBE) for an optimized crystal structure of CsKReC2.

Summary:
The calculation puts the density of states at the Fermi level at 6.37 states/eV/cell. As for the uncorrected energy: -2.4040 eV/atom. The density is 4.4 Mg/m³.

a b c (Å): 4.978 5.811 4.978
angles (deg): 90.00 90.00 90.00
Element x y z (fractional)
Cs: 0.000 0.000 0.000
Re: 0.500 0.500 0.500
K: 0.000 0.500 0.000
C: 0.000 0.000 0.500
C: 0.500 0.000 0.000

=====

Density functional theory data (PBE) for an optimized crystal structure of Co2OsPt.

Summary:
The calculation puts the density of states at the Fermi level at 5.09 states/eV/cell. As for the uncorrected energy: -7.7541 eV/atom. The density is 16.2 Mg/m³.

a b c (Å): 4.523 4.523 2.643
angles (deg): 90.00 90.00 107.61
Element x y z (fractional)
Co: 0.000 0.000 0.000
Co: 0.500 0.500 0.000
Os: 0.500 0.000 0.500
Pt: 0.000 0.500 0.500

=====

Density functional theory data (PBE) for an optimized crystal structure of Dy5CSe4.

Summary:
The calculation puts the density of states at the Fermi level at 4.89 states/eV/cell. The density is 8.4 Mg/m³. The formation energy from raw total energies is -35.22 kcal/mol of atoms.

a b c (Å): 5.644 6.939 6.939
angles (deg): 80.48 66.00 66.00
Element x y z (fractional)
Dy: 0.910 0.351 0.831
Dy: 0.261 0.831 0.649
Dy: 0.741 0.169 0.351
Dy: 0.092 0.649 0.169
Dy: 0.500 0.000 0.000
C: 0.002 0.000 0.000
Se: 0.409 0.398 0.786
Se: 0.807 0.786 0.602
Se: 0.195 0.214 0.398
Se: 0.593 0.602 0.214